1.
18
Lattice="5.5273 1.4439 1.0338 2.0769 10.6280 0.6991 2.0769 4.0863 9.8359" Properties=species:S:1:pos:R:3 comment="Tb3Sm2Sc4 (PBE-GGA, relaxed)" delta_e_f_ev_per_atom=0.1115 magnetic_moment_mub_per_atom=0.00 polymorph_energy_ev_per_atom=0.056 pbc="T T T"
Tb 5.0338 2.7807 3.5027
Tb 7.4110 12.6683 10.5820
Tb 4.6473 13.3775 8.0661
Tb 2.2701 3.4899 0.9868
Tb 3.4587 8.5254 4.3984
Tb 6.2224 7.6328 7.1704
Sm 4.0261 5.3187 5.5895
Sm 2.8914 8.4311 7.8179
Sm 5.6550 10.8395 5.9793
Sm 6.7897 7.7271 3.7509
Sc 4.6973 11.1480 2.8017
Sc 2.2202 9.1919 1.4012
Sc 4.9838 5.0102 8.7671
Sc 7.4609 6.9663 10.1676
Sc 1.7692 3.2159 4.2036
Sc 5.1482 10.4206 9.3620
Sc 7.9119 12.9423 7.3652
Sc 4.5329 5.7376 2.2069

=====

2.
4
Lattice="-1.2608 0.1023 3.9142 -3.0669 -2.4462 1.2376 3.4066 -6.0017 3.4156" Properties=species:S:1:pos:R:3 comment="Tb2CuTe (PBE-GGA, relaxed)" e_form_raw_ev_per_atom=-0.699 magnetic_moment_mub_per_atom=0.00 polymorph_energy_ev_per_atom=0.062 pbc="T T T"
Te -0.4605 -4.1728 4.2837
Tb -0.3582 -1.9486 2.0970
Tb -0.5628 -6.3969 6.4704
Cu 0.0000 0.0000 0.0000

=====

3.
4
Lattice="2.0305 0.0000 10.6585 -1.0152 1.7584 10.6585 -1.0152 -1.7584 10.6585" Properties=species:S:1:pos:R:3 comment="SbOsCl2 (PBE-GGA, relaxed)" e_form_raw_ev_per_atom=0.434 magnetic_moment_mub_per_atom=0.00 polymorph_energy_ev_per_atom=0.412 pbc="T T T"
Sb 0.0000 0.0000 0.0000
Os 0.0000 0.0000 15.9877
Cl 0.0000 0.0000 27.8901
Cl 0.0000 0.0000 4.0853

=====

4.
14
Lattice="4.1835 0.0000 0.9273 1.7825 9.4167 1.8590 -0.2113 0.6731 10.8536" Properties=species:S:1:pos:R:3 comment="K2Cu2Te3 (PBE-GGA, relaxed)" e_form_raw_ev_per_atom=-0.492 magnetic_moment_mub_per_atom=0.00 polymorph_energy_ev_per_atom=0.000 pbc="T T T"
K 1.2625 1.3495 4.2046
K 4.4921 8.7403 9.4354
K 1.8680 3.2548 11.3735
K 3.8867 6.8351 2.2664
Cu 0.4191 3.2198 8.0095
Cu 5.3355 6.8701 5.6304
Cu 2.5627 5.1814 8.2391
Cu 3.1919 4.9084 5.4008
Te 0.1000 0.9286 9.4493
Te 5.6547 9.1613 4.1907
Te 1.4327 4.6157 3.4368
Te 4.3219 5.4742 10.2031
Te 2.9289 7.2650 6.5870
Te 2.8257 2.8248 7.0529

=====

5.
8
Lattice="7.0171 -0.8562 -0.1920 -3.4054 6.1949 -0.1920 -0.8558 -1.2649 6.2705" Properties=species:S:1:pos:R:3 comment="HoInCl6 (PBE-GGA, relaxed)" e_form_raw_ev_per_atom=-1.634 magnetic_moment_mub_per_atom=0.00 pbc="T T T"
Ho 0.0000 0.0000 0.0000
In 1.3780 2.0369 2.9433
Cl 0.2628 0.3885 4.5941
Cl 2.1839 0.0775 1.5284
Cl 2.4932 3.6853 1.2924
Cl 3.4966 2.0178 4.3581
Cl 0.5721 3.9962 4.3581
Cl -0.7405 2.0560 1.5284

=====

6.
4
Lattice="-3.5393 0.2083 4.4667 2.1001 -1.4249 5.1069 -0.0619 3.4456 -4.5437" Properties=species:S:1:pos:R:3 comment="BaCo2Os (PBE-GGA, relaxed)" delta_e_f_ev_per_atom=1.0441 magnetic_moment_mub_per_atom=0.92 polymorph_energy_ev_per_atom=0.745 pbc="T T T"
Ba 0.6644 0.7105 2.6409
Co -1.3721 -1.1599 9.1268
Co -2.1674 1.5169 2.4010
Os -0.7850 -0.6636 5.2215